Below is a relaxed structure of Ti3Ge, with properties calculated at the PBE level.

a = 4.4923 Å, b = 4.4923 Å, c = 4.4923 Å
α = 60.00°, β = 60.00°, γ = 60.00°
Atoms (fractional coordinates):
Ti: 0.0000 0.0000 0.0000
Ti: 0.2500 0.2500 0.2500
Ti: 0.7500 0.7500 0.7500
Ge: 0.5000 0.5000 0.5000

Results
- energy relative to the elements (eV per formula unit) = -1.10
- VASP energy (eV per atom) = -7.3497
- space-group type = No. 225
- magnetic moment (μB per atom) = 0.39